(1)
RbScTc | PBE | relaxed

Results
The value obtained for the calculated volume is 27.95 A^3/atom. The symmetry is F-43m. As for the crystal system: cubic. The value obtained for the uncorrected energy is -4.31 eV per atom. The calculation puts the magnetic moment at 0.33 μB/atom.

Geometry as extended XYZ:
```
3
Lattice="0.000 3.474 3.474 3.474 0.000 3.474 3.474 3.474 0.000" Properties=species:S:1:pos:R:3 pbc="T T T"
Tc 0.000 0.000 0.000
Sc 5.211 5.211 5.211
Rb 1.737 1.737 1.737
```

(2)
RbScTc | PBE | relaxed

Results
The value obtained for the calculated volume is 28.71 A^3/atom. The symmetry is F-43m. As for the crystal system: cubic. The value obtained for the uncorrected energy is -3.69 eV per atom. The calculation puts the magnetic moment at 0.88 μB/atom.

Geometry as extended XYZ:
```
3
Lattice="0.000 3.505 3.505 3.505 0.000 3.505 3.505 3.505 0.000" Properties=species:S:1:pos:R:3 pbc="T T T"
Rb 0.000 0.000 0.000
Sc 1.753 1.753 1.753
Tc 5.258 5.258 5.258
```

(3)
RbTmScTe3 | PBE | relaxed

Results
The value obtained for the calculated volume is 36.52 A^3/atom. The symmetry is Cmcm. As for the crystal system: orthorhombic. The value obtained for the uncorrected energy is -4.66 eV per atom. The calculation puts the magnetic moment at 0.16 μB/atom.

Geometry as extended XYZ:
```
12
Lattice="2.301 -8.367 0.000 2.301 8.367 0.000 0.000 0.000 11.378" Properties=species:S:1:pos:R:3 pbc="T T T"
Rb 2.301 4.233 2.845
Tm 2.301 0.443 8.534
Te 2.301 7.083 8.534
Te 2.301 -2.024 5.243
Sc 0.000 0.000 0.000
Rb 2.301 -4.233 8.534
Te 2.301 2.024 10.932
Tm 2.301 -0.443 2.845
Te 2.301 -7.083 2.845
Te 2.301 2.024 6.135
Sc 0.000 0.000 5.689
Te 2.301 -2.024 0.446
```

(4)
RbTmScTe3 | PBE | relaxed

Results
The value obtained for the calculated volume is 35.79 A^3/atom. The symmetry is Cmcm. As for the crystal system: orthorhombic. The value obtained for the uncorrected energy is -4.73 eV per atom. The calculation puts the magnetic moment at 0.00 μB/atom.

Geometry as extended XYZ:
```
12
Lattice="2.227 -8.292 0.000 2.227 8.292 0.000 0.000 0.000 11.630" Properties=species:S:1:pos:R:3 pbc="T T T"
Rb 2.227 -4.273 8.722
Te 2.227 6.172 11.092
Tm 2.227 0.000 0.000
Sc 2.227 -7.616 2.907
Te 2.227 6.172 6.352
Te 2.227 -6.172 5.278
Te 2.227 1.067 8.722
Tm 2.227 0.000 5.815
Rb 2.227 4.273 2.907
Te 2.227 -1.067 2.907
Sc 2.227 7.616 8.722
Te 2.227 -6.172 0.537
```

(5)
RbThSc | PBE | relaxed

Results
The value obtained for the calculated volume is 43.91 A^3/atom. The symmetry is F-43m. As for the crystal system: cubic. The value obtained for the uncorrected energy is -3.44 eV per atom. The calculation puts the magnetic moment at 0.93 μB/atom.

Geometry as extended XYZ:
```
3
Lattice="0.000 4.039 4.039 4.039 0.000 4.039 4.039 4.039 0.000" Properties=species:S:1:pos:R:3 pbc="T T T"
Rb 2.019 2.019 2.019
Sc 0.000 0.000 0.000
Th 6.058 6.058 6.058
```

(6)
RbTmSc | PBE | relaxed

Results
The value obtained for the calculated volume is 46.10 A^3/atom. The symmetry is F-43m. As for the crystal system: cubic. The value obtained for the uncorrected energy is -2.64 eV per atom. The calculation puts the magnetic moment at 1.09 μB/atom.

Geometry as extended XYZ:
```
3
Lattice="-4.083 -4.051 -0.784 -5.046 0.376 2.846 -4.867 1.304 -2.882" Properties=species:S:1:pos:R:3 pbc="T T T"
Sc 0.000 0.000 0.000
Tm -10.497 -1.778 -0.615
Rb -3.499 -0.593 -0.205
```

(7)
RbScZn | PBE | relaxed

Results
The value obtained for the calculated volume is 35.33 A^3/atom. The symmetry is F-43m. As for the crystal system: cubic. The value obtained for the uncorrected energy is -2.11 eV per atom. The calculation puts the magnetic moment at 0.50 μB/atom.

Geometry as extended XYZ:
```
3
Lattice="0.000 3.756 3.756 3.756 0.000 3.756 3.756 3.756 0.000" Properties=species:S:1:pos:R:3 pbc="T T T"
Rb 1.878 1.878 1.878
Zn 0.000 0.000 0.000
Sc 5.634 5.634 5.634
```

(8)
RbScZn | PBE | relaxed

Results
The value obtained for the calculated volume is 37.87 A^3/atom. The symmetry is F-43m. As for the crystal system: cubic. The value obtained for the uncorrected energy is -1.66 eV per atom. The calculation puts the magnetic moment at 0.53 μB/atom.

Geometry as extended XYZ:
```
3
Lattice="2.594 -3.953 2.684 -2.277 -4.914 0.468 2.072 -4.226 -2.721" Properties=species:S:1:pos:R:3 pbc="T T T"
Zn 1.791 -9.820 0.323
Sc 0.597 -3.273 0.108
Rb 0.000 0.000 0.000
```

(9)
RbTmSiSe3 | PBE | relaxed

Results
The value obtained for the calculated volume is 30.66 A^3/atom. The symmetry is Cmcm. As for the crystal system: orthorhombic. The value obtained for the uncorrected energy is -4.58 eV per atom. The calculation puts the magnetic moment at 0.00 μB/atom.

Geometry as extended XYZ:
```
12
Lattice="1.983 -8.014 0.000 1.983 8.014 0.000 0.000 0.000 11.577" Properties=species:S:1:pos:R:3 pbc="T T T"
Tm 1.983 0.000 5.788
Si 1.983 6.368 2.894
Se 1.983 6.063 5.573
Se 1.983 0.035 8.683
Se 1.983 -6.063 11.361
Se 1.983 6.063 0.215
Se 1.983 -6.063 6.004
Rb 1.983 -4.587 2.894
Se 1.983 -0.035 2.894
Tm 1.983 0.000 0.000
Rb 1.983 4.587 8.683
Si 1.983 -6.368 8.683
```

(10)
RbZrSiSe3 | PBE | relaxed

Results
The value obtained for the calculated volume is 28.42 A^3/atom. The symmetry is Cmcm. As for the crystal system: orthorhombic. The value obtained for the uncorrected energy is -4.94 eV per atom. The calculation puts the magnetic moment at 0.15 μB/atom.

Geometry as extended XYZ:
```
12
Lattice="2.177 -7.326 0.000 2.177 7.326 0.000 0.000 0.000 10.692" Properties=species:S:1:pos:R:3 pbc="T T T"
Si 2.177 6.797 2.673
Zr 2.177 0.000 0.000
Si 2.177 -6.797 8.019
Se 2.177 0.608 2.673
Se 2.177 5.548 0.563
Se 2.177 -5.548 5.908
Zr 2.177 0.000 5.346
Se 2.177 -0.608 8.019
Se 2.177 5.548 4.783
Rb 2.177 3.817 8.019
Se 2.177 -5.548 10.129
Rb 2.177 -3.817 2.673
```

(11)
RbSmSe4 | PBE | relaxed

Results
The value obtained for the calculated volume is 29.32 A^3/atom. The symmetry is P4/nbm. As for the crystal system: tetragonal. The value obtained for the uncorrected energy is -4.44 eV per atom. The calculation puts the magnetic moment at 0.00 μB/atom.

Geometry as extended XYZ:
```
12
Lattice="6.355 0.000 0.000 0.000 6.355 0.000 0.000 0.000 8.713" Properties=species:S:1:pos:R:3 pbc="T T T"
Se 2.317 5.494 2.588
Se 4.038 5.494 6.125
Rb 3.177 3.177 0.000
Se 4.038 0.861 2.588
Se 5.494 2.317 6.125
Se 2.317 0.861 6.125
Se 0.861 4.038 6.125
Sm 3.177 3.177 4.357
Se 0.861 2.317 2.588
Sm 0.000 0.000 4.357
Rb 0.000 0.000 0.000
Se 5.494 4.038 2.588
```

(12)
RbSm2Se3 | PBE | relaxed

Results
The value obtained for the calculated volume is 34.84 A^3/atom. The symmetry is Cmcm. As for the crystal system: orthorhombic. The value obtained for the uncorrected energy is -5.00 eV per atom. The calculation puts the magnetic moment at 0.02 μB/atom.

Geometry as extended XYZ:
```
12
Lattice="2.325 -7.900 0.000 2.325 7.900 0.000 0.000 0.000 11.381" Properties=species:S:1:pos:R:3 pbc="T T T"
Rb 2.325 -3.781 8.536
Sm 0.000 0.000 0.000
Se 2.325 -1.920 5.212
Sm 2.325 0.485 8.536
Sm 2.325 -0.485 2.845
Se 2.325 1.920 6.169
Se 2.325 -1.920 0.478
Sm 0.000 0.000 5.691
Se 2.325 -6.850 2.845
Rb 2.325 3.781 2.845
Se 2.325 1.920 10.903
Se 2.325 6.850 8.536
```

(13)
RbSmYSe3 | PBE | relaxed

Results
The value obtained for the calculated volume is 34.20 A^3/atom. The symmetry is Cmcm. As for the crystal system: orthorhombic. The value obtained for the uncorrected energy is -5.33 eV per atom. The calculation puts the magnetic moment at 0.02 μB/atom.

Geometry as extended XYZ:
```
12
Lattice="2.287 -7.889 0.000 2.287 7.889 0.000 0.000 0.000 11.374" Properties=species:S:1:pos:R:3 pbc="T T T"
Rb 2.287 4.116 2.843
Y 2.287 -7.384 2.843
Se 2.287 -5.962 5.145
Se 2.287 5.962 10.832
Se 2.287 -1.005 2.843
Y 2.287 7.384 8.530
Se 2.287 5.962 6.229
Rb 2.287 -4.116 8.530
Sm 2.287 0.000 5.687
Sm 2.287 0.000 0.000
Se 2.287 -5.962 0.542
Se 2.287 1.005 8.530
```

(14)
RbSmZnSe3 | PBE | relaxed

Results
The value obtained for the calculated volume is 29.80 A^3/atom. The symmetry is C2/m. As for the crystal system: monoclinic. The value obtained for the uncorrected energy is -4.11 eV per atom. The calculation puts the magnetic moment at 0.00 μB/atom.

Geometry as extended XYZ:
```
12
Lattice="-5.508 -7.791 -1.393 -1.545 -9.202 -2.431 1.992 -0.807 8.703" Properties=species:S:1:pos:R:3 pbc="T T T"
Se -4.091 -11.443 -0.061
Sm -1.042 -2.880 -0.063
Rb -5.191 -14.925 0.476
Se -2.001 -5.617 -0.004
Zn -1.811 -8.635 4.826
Sm -4.019 -14.920 4.941
Se -3.060 -12.184 4.883
Se 0.000 0.000 0.000
Zn -3.250 -9.166 0.053
Rb 0.129 -2.876 4.403
Se -2.531 -8.900 2.439
Se -0.970 -6.357 4.939
```

(15)
RbSmZnSe3 | PBE | relaxed

Results
The value obtained for the calculated volume is 31.44 A^3/atom. The symmetry is P2_1/m. As for the crystal system: monoclinic. The value obtained for the uncorrected energy is -4.28 eV per atom. The calculation puts the magnetic moment at 0.00 μB/atom.

Geometry as extended XYZ:
```
12
Lattice="9.066 0.000 0.000 0.000 4.220 0.000 -3.489 0.000 9.861" Properties=species:S:1:pos:R:3 pbc="T T T"
Se 6.478 3.165 6.435
Rb 1.548 3.165 2.270
Se 6.211 3.165 0.487
Zn 0.702 3.165 8.780
Se -0.633 1.055 9.373
Se -0.901 1.055 3.426
Rb 4.030 1.055 7.591
Sm -0.573 1.055 6.277
Se 1.456 3.165 6.458
Sm 6.151 3.165 3.584
Zn 4.875 1.055 1.081
Se 4.121 1.055 3.403
```

(16)
RbZrSnSe3 | PBE | relaxed

Results
The value obtained for the calculated volume is 31.71 A^3/atom. The symmetry is Cmcm. As for the crystal system: orthorhombic. The value obtained for the uncorrected energy is -4.88 eV per atom. The calculation puts the magnetic moment at 0.02 μB/atom.

Geometry as extended XYZ:
```
12
Lattice="1.893 -8.651 0.000 1.893 8.651 0.000 0.000 0.000 11.615" Properties=species:S:1:pos:R:3 pbc="T T T"
Sn 1.893 -2.106 8.711
Se 1.893 -8.626 8.711
Rb 1.893 3.191 8.711
Se 1.893 8.626 2.904
Se 1.893 -1.919 11.568
Se 1.893 1.919 0.047
Rb 1.893 -3.191 2.904
Zr 0.000 0.000 5.808
Zr 0.000 0.000 0.000
Sn 1.893 2.106 2.904
Se 1.893 1.919 5.761
Se 1.893 -1.919 5.855
```

(17)
RbSrTmSe3 | PBE | relaxed

Results
The value obtained for the calculated volume is 37.93 A^3/atom. The symmetry is Cmcm. As for the crystal system: orthorhombic. The value obtained for the uncorrected energy is -4.59 eV per atom. The calculation puts the magnetic moment at 0.00 μB/atom.

Geometry as extended XYZ:
```
12
Lattice="2.317 -7.866 0.000 2.317 7.866 0.000 0.000 0.000 12.487" Properties=species:S:1:pos:R:3 pbc="T T T"
Rb 2.317 -3.875 3.122
Se 2.317 5.979 0.983
Sr 2.317 0.000 6.244
Se 2.317 -1.106 9.366
Rb 2.317 3.875 9.366
Se 2.317 -5.979 7.227
Tm 2.317 -7.499 9.366
Se 2.317 -5.979 11.504
Sr 2.317 0.000 0.000
Tm 2.317 7.499 3.122
Se 2.317 5.979 5.260
Se 2.317 1.106 3.122
```

(18)
Rb3TaTe2Se2 | PBE | relaxed

Results
The value obtained for the calculated volume is 41.21 A^3/atom. The symmetry is Fmm2. As for the crystal system: orthorhombic. The value obtained for the uncorrected energy is -4.47 eV per atom. The calculation puts the magnetic moment at 0.00 μB/atom.

Geometry as extended XYZ:
```
8
Lattice="0.000 6.532 4.440 5.685 0.000 4.440 5.685 6.532 0.000" Properties=species:S:1:pos:R:3 pbc="T T T"
Te 5.685 4.310 1.624
Te 5.685 8.754 1.624
Se 9.424 6.532 3.182
Se 1.945 6.532 3.182
Rb 8.527 9.798 8.288
Rb 5.685 6.532 4.747
Rb 2.842 3.266 3.848
Ta 5.685 6.532 0.144
```

(19)
RbTmTaSe3 | PBE | relaxed

Results
The value obtained for the calculated volume is 28.27 A^3/atom. The symmetry is Cmcm. As for the crystal system: orthorhombic. The value obtained for the uncorrected energy is -5.69 eV per atom. The calculation puts the magnetic moment at 0.07 μB/atom.

Geometry as extended XYZ:
```
12
Lattice="2.003 -7.935 0.000 2.003 7.935 0.000 0.000 0.000 10.671" Properties=species:S:1:pos:R:3 pbc="T T T"
Se 2.003 -6.828 2.668
Rb 2.003 -3.866 8.003
Tm 0.000 0.000 5.335
Se 2.003 -1.932 0.586
Se 2.003 -1.932 4.749
Ta 2.003 -0.526 2.668
Tm 0.000 0.000 0.000
Se 2.003 6.828 8.003
Rb 2.003 3.866 2.668
Se 2.003 1.932 10.084
Ta 2.003 0.526 8.003
Se 2.003 1.932 5.921
```

(20)
Rb2TbSe3 | PBE | relaxed

Results
The value obtained for the calculated volume is 36.33 A^3/atom. The symmetry is C2/m. As for the crystal system: monoclinic. The value obtained for the uncorrected energy is -4.11 eV per atom. The calculation puts the magnetic moment at 0.00 μB/atom.

Geometry as extended XYZ:
```
12
Lattice="8.076 -3.033 0.000 8.076 3.033 0.000 -5.643 0.000 8.900" Properties=species:S:1:pos:R:3 pbc="T T T"
Tb 2.537 0.000 0.858
Se 8.076 -1.784 0.000
Se 7.510 0.000 5.377
Se 11.594 0.000 1.075
Se 8.076 1.784 0.000
Se 2.998 0.000 3.523
Rb -0.219 0.000 4.423
Tb 7.971 0.000 8.042
Rb 4.405 0.000 6.636
Rb 10.727 0.000 4.477
Se -1.086 0.000 7.825
Rb 6.103 0.000 2.264
```